(1)
{
  "formula": "LiCo2Re",
  "functional": "PBE",
  "state": "relaxed",
  "final_energy_ev_per_cell": -51.6,
  "e_form_ev_per_atom": 0.695,
  "total_magnetization_mub_per_atom": 0.000,
  "relative_energy_kj_per_mol_atoms": 52.7,
  "cell": [[-3.217, 3.217, 2.534], [3.217, -3.217, 2.534], [3.217, 3.217, -2.534]],
  "species": ["Li", "Li", "Co", "Co", "Co", "Co", "Re", "Re"],
  "frac_coords": [[0.000, 0.000, 0.000], [0.750, 0.250, 0.500], [0.141, 0.625, 0.016], [0.375, 0.391, 0.516], [0.609, 0.125, 0.984], [0.875, 0.859, 0.484], [0.250, 0.750, 0.500], [0.500, 0.500, 0.000]]
}



(2)
{
  "formula": "Zr3TlGe",
  "functional": "PBE",
  "state": "relaxed",
  "final_energy_ev_per_cell": -32.1,
  "e_form_ev_per_atom": 0.113,
  "total_magnetization_mub_per_atom": 0.000,
  "relative_energy_kj_per_mol_atoms": 0.0,
  "cell": [[5.032, 0.000, 0.000], [0.000, 5.032, 0.000], [0.000, 0.000, 5.032]],
  "species": ["Zr", "Zr", "Zr", "Tl", "Ge"],
  "frac_coords": [[0.000, 0.000, 0.500], [0.000, 0.500, 0.000], [0.500, 0.000, 0.000], [0.500, 0.500, 0.500], [0.000, 0.000, 0.000]]
}



(3)
{
  "formula": "Ti2AlB2Os5",
  "functional": "PBE",
  "state": "relaxed",
  "final_energy_ev_per_cell": -187.9,
  "e_form_ev_per_atom": -0.489,
  "total_magnetization_mub_per_atom": 0.000,
  "cell": [[9.280, 0.000, 0.000], [0.000, 9.280, 0.000], [0.000, 0.000, 2.996]],
  "species": ["Ti", "Ti", "Ti", "Ti", "Al", "Al", "B", "B", "B", "B", "Os", "Os", "Os", "Os", "Os", "Os", "Os", "Os", "Os", "Os"],
  "frac_coords": [[0.176, 0.324, 0.000], [0.324, 0.824, 0.000], [0.676, 0.176, 0.000], [0.824, 0.676, 0.000], [0.000, 0.000, 0.000], [0.500, 0.500, 0.000], [0.126, 0.626, 0.000], [0.374, 0.126, 0.000], [0.626, 0.874, 0.000], [0.874, 0.374, 0.000], [0.000, 0.500, 0.500], [0.070, 0.787, 0.500], [0.213, 0.070, 0.500], [0.287, 0.570, 0.500], [0.430, 0.287, 0.500], [0.500, 0.000, 0.500], [0.570, 0.713, 0.500], [0.713, 0.430, 0.500], [0.787, 0.930, 0.500], [0.930, 0.213, 0.500]]
}



(4)
{
  "formula": "La8BiTe4Se3",
  "functional": "PBE",
  "state": "relaxed",
  "formation_energy_uncorrected_ev_per_atom": -1.67,
  "final_energy_ev_per_cell": -93.1,
  "total_magnetization_mub_per_atom": 0.000,
  "cell": [[4.487, 2.591, 7.404], [-4.487, 2.591, 7.404], [0.000, -5.182, 7.404]],
  "species": ["La", "La", "La", "La", "La", "La", "La", "La", "Bi", "Te", "Te", "Te", "Te", "Se", "Se", "Se"],
  "frac_coords": [[0.230, 0.751, 0.751], [0.241, 0.241, 0.241], [0.249, 0.249, 0.770], [0.249, 0.770, 0.249], [0.751, 0.230, 0.751], [0.751, 0.751, 0.230], [0.759, 0.759, 0.759], [0.770, 0.249, 0.249], [0.500, 0.500, 0.500], [0.000, 0.000, 0.000], [0.000, 0.500, 0.500], [0.500, 0.000, 0.500], [0.500, 0.500, 0.000], [0.000, 0.000, 0.500], [0.000, 0.500, 0.000], [0.500, 0.000, 0.000]]
}



(5)
{
  "formula": "AgTePd5",
  "functional": "PBE",
  "state": "relaxed",
  "formation_energy_uncorrected_ev_per_atom": -0.05,
  "final_energy_ev_per_cell": -64.6,
  "total_magnetization_mub_per_atom": 0.000,
  "relative_energy_kj_per_mol_atoms": 11.0,
  "cell": [[4.574, -2.811, 0.000], [4.574, 2.811, 0.000], [-1.833, 0.000, 9.656]],
  "species": ["Ag", "Ag", "Te", "Te", "Pd", "Pd", "Pd", "Pd", "Pd", "Pd", "Pd", "Pd", "Pd", "Pd"],
  "frac_coords": [[0.127, 0.873, 0.750], [0.873, 0.127, 0.250], [0.500, 0.500, 0.000], [0.500, 0.500, 0.500], [0.040, 0.255, 0.556], [0.110, 0.408, 0.851], [0.255, 0.040, 0.056], [0.373, 0.627, 0.250], [0.408, 0.110, 0.351], [0.592, 0.890, 0.649], [0.627, 0.373, 0.750], [0.745, 0.960, 0.944], [0.890, 0.592, 0.149], [0.960, 0.745, 0.444]]
}



(6)
{
  "formula": "DySbTe",
  "functional": "PBE",
  "state": "relaxed",
  "formation_energy_uncorrected_ev_per_atom": -1.06,
  "final_energy_ev_per_cell": -30.1,
  "total_magnetization_mub_per_atom": 0.000,
  "cell": [[-2.135, 2.135, 9.356], [2.135, -2.135, 9.356], [2.135, 2.135, -9.356]],
  "species": ["Dy", "Dy", "Sb", "Sb", "Te", "Te"],
  "frac_coords": [[0.139, 0.139, 0.000], [0.861, 0.861, 0.000], [0.000, 0.500, 0.500], [0.500, 0.000, 0.500], [0.311, 0.311, 0.000], [0.689, 0.689, 0.000]]
}